A plane-wave DFT calculation with GGA-PBE was carried out for MnAgIrRh2 after structural relaxation.

Cell lengths 4.449, 4.457, 4.449 Å; angles 90.00, 90.00, 90.00 degrees
Fractional positions:
Mn 0.000 0.000 0.000
Ir 0.000 0.500 0.000
Rh 0.000 0.000 0.500
Rh 0.500 0.000 0.000
Ag 0.500 0.500 0.500

E_form = 1007 meV per atom
Uncorrected energy = -30.55 eV for the cell shown
SG = No. 123